Dy3Ru: relaxed, GGA-PBE.

Cell lengths 3.5761, 5.2891, 10.8512 Å; angles 90.00, 90.00, 90.00 degrees
With the nearest neighbours (Å) after each atom.
Space group Immm (No. 71)
Unique sites:
Dy1 0.0000 0.0000 0.0000  4 Ru 3.19, 4 Dy 3.41
Dy2 0.0000 0.5000 0.1977  2 Ru 2.79
Ru1 0.0000 0.0000 0.5000  4 Dy 2.79

Summary:
Energy of formation from the pure elements in eV per atom: -0.228
Calculated total energy in eV per atom: -6.00